Run a
First-principles (PBE-GGA) data for a relaxed ZnFeI3 crystal, as listed in Alexandria via LeMat-Bulk. Values from VASP.

Results
V: 29.90 Å³/atom
N(E_F): 1.82 states/eV per atom

Structure (Quantum ESPRESSO input):
```
&SYSTEM
  ibrav = 0, nat = 5, ntyp = 3
/
ATOMIC_SPECIES
Fe 55.84 Fe.upf
Zn 65.41 Zn.upf
I 126.90 I.upf
CELL_PARAMETERS angstrom
5.308 0.000 0.000
0.000 5.308 0.000
0.000 0.000 5.308
ATOMIC_POSITIONS crystal
Fe 0.000 0.000 0.000
Zn 0.500 0.500 0.500
I 0.500 0.000 0.000
I 0.000 0.000 0.500
I 0.000 0.500 0.000
```

=====

Run b
First-principles (PBE-GGA) data for a relaxed ZnFeI3 crystal, as listed in Alexandria via LeMat-Bulk. Values from VASP.

Results
V: 34.66 Å³/atom
N(E_F): 3.13 states/eV per atom

Structure (Quantum ESPRESSO input):
```
&SYSTEM
  ibrav = 0, nat = 5, ntyp = 3
/
ATOMIC_SPECIES
I 126.90 I.upf
Zn 65.41 Zn.upf
Fe 55.84 Fe.upf
CELL_PARAMETERS angstrom
-2.419 4.636 -1.935
-1.928 -2.840 -4.393
-4.639 -1.236 2.835
ATOMIC_POSITIONS crystal
I 0.000 0.500 0.000
I 0.000 0.000 0.500
I 0.500 0.000 0.000
Zn 0.000 0.000 0.000
Fe 0.500 0.500 0.500
```

=====

run a is favored, and the nearest alternative lies 87 meV/atom above it.

=====

Run a
First-principles (PBE-GGA) data for a relaxed ZrFeI3 crystal, as listed in Alexandria via LeMat-Bulk. Values from VASP.

Results
V: 38.07 Å³/atom
N(E_F): 3.59 states/eV per atom

Structure (Quantum ESPRESSO input):
```
&SYSTEM
  ibrav = 0, nat = 5, ntyp = 3
/
ATOMIC_SPECIES
I 126.90 I.upf
Fe 55.84 Fe.upf
Zr 91.22 Zr.upf
CELL_PARAMETERS angstrom
5.753 0.000 0.000
0.000 5.753 0.000
0.000 0.000 5.753
ATOMIC_POSITIONS crystal
I 0.000 0.500 0.000
Fe 0.500 0.500 0.500
I 0.500 0.000 0.000
Zr 0.000 0.000 0.000
I 0.000 0.000 0.500
```

=====

Run b
First-principles (PBE-GGA) data for a relaxed ZrFeI3 crystal, as listed in Alexandria via LeMat-Bulk. Values from VASP.

Results
V: 27.60 Å³/atom
N(E_F): 1.55 states/eV per atom

Structure (Quantum ESPRESSO input):
```
&SYSTEM
  ibrav = 0, nat = 5, ntyp = 3
/
ATOMIC_SPECIES
I 126.90 I.upf
Fe 55.84 Fe.upf
Zr 91.22 Zr.upf
CELL_PARAMETERS angstrom
-0.907 -2.266 -4.555
5.081 -0.172 -0.926
0.254 -4.642 2.258
ATOMIC_POSITIONS crystal
I 0.000 0.000 0.500
I 0.500 0.000 0.000
Fe 0.000 0.000 0.000
I 0.000 0.500 0.000
Zr 0.500 0.500 0.500
```

=====

run a is favored, and the nearest alternative lies 248 meV/atom above it.

=====

Run a
First-principles (PBE-GGA) data for a relaxed ZrFe2I crystal, as listed in Alexandria via LeMat-Bulk. Values from VASP.

Results
V: 16.60 Å³/atom
N(E_F): 0.99 states/eV per atom

Structure (Quantum ESPRESSO input):
```
&SYSTEM
  ibrav = 0, nat = 4, ntyp = 3
/
ATOMIC_SPECIES
Zr 91.22 Zr.upf
Fe 55.84 Fe.upf
I 126.90 I.upf
CELL_PARAMETERS angstrom
-0.411 -4.452 0.817
-2.745 -1.458 3.316
-3.868 -2.153 -1.033
ATOMIC_POSITIONS crystal
Zr 0.000 0.000 0.000
Fe 0.250 0.250 0.250
Fe 0.750 0.750 0.750
I 0.500 0.500 0.500
```

=====

Run b
First-principles (PBE-GGA) data for a relaxed ZrFe2I crystal, as listed in Alexandria via LeMat-Bulk. Values from VASP.

Results
V: 19.72 Å³/atom
N(E_F): 0.97 states/eV per atom

Structure (Quantum ESPRESSO input):
```
&SYSTEM
  ibrav = 0, nat = 8, ntyp = 3
/
ATOMIC_SPECIES
Zr 91.22 Zr.upf
Fe 55.84 Fe.upf
I 126.90 I.upf
CELL_PARAMETERS angstrom
4.058 0.000 0.000
0.000 4.058 0.000
2.029 2.029 9.583
ATOMIC_POSITIONS crystal
Zr 0.500 0.500 0.000
Fe 0.875 0.826 0.750
I 0.750 0.250 0.500
Fe 0.375 0.424 0.750
Zr 0.250 0.750 0.500
I 0.000 0.000 0.000
Fe 0.174 0.625 0.250
Fe 0.576 0.125 0.250
```

=====

run a is favored, and the nearest alternative lies 142 meV/atom above it.

=====

Run a
First-principles (PBE-GGA) data for a relaxed InFeIr crystal, as listed in Alexandria via LeMat-Bulk. Values from VASP.

Results
V: 15.74 Å³/atom
N(E_F): 0.94 states/eV per atom

Structure (Quantum ESPRESSO input):
```
&SYSTEM
  ibrav = 0, nat = 3, ntyp = 3
/
ATOMIC_SPECIES
Ir 192.22 Ir.upf
In 114.82 In.upf
Fe 55.84 Fe.upf
CELL_PARAMETERS angstrom
5.725 -0.143 0.151
5.023 2.750 0.155
0.702 0.166 2.888
ATOMIC_POSITIONS crystal
Ir 0.653 0.653 0.347
In 0.335 0.335 0.665
Fe 0.012 0.012 0.988
```

=====

Run b
First-principles (PBE-GGA) data for a relaxed InFeIr crystal, as listed in Alexandria via LeMat-Bulk. Values from VASP.

Results
V: 16.17 Å³/atom
N(E_F): 0.62 states/eV per atom

Structure (Quantum ESPRESSO input):
```
&SYSTEM
  ibrav = 0, nat = 3, ntyp = 3
/
ATOMIC_SPECIES
In 114.82 In.upf
Ir 192.22 Ir.upf
Fe 55.84 Fe.upf
CELL_PARAMETERS angstrom
4.351 0.000 0.000
-2.176 3.768 0.000
0.000 0.000 2.958
ATOMIC_POSITIONS crystal
In 0.333 0.667 0.323
Ir 0.667 0.333 0.782
Fe 0.000 0.000 0.895
```

=====

run a is favored, and the nearest alternative lies 44 meV/atom above it.

=====

Run a
First-principles (PBE-GGA) data for a relaxed KIn2Fe crystal, as listed in Alexandria via LeMat-Bulk. Values from VASP.

Results
V: 38.32 Å³/atom
N(E_F): 0.74 states/eV per atom

Structure (Quantum ESPRESSO input):
```
&SYSTEM
  ibrav = 0, nat = 8, ntyp = 3
/
ATOMIC_SPECIES
In 114.82 In.upf
Fe 55.84 Fe.upf
K 39.10 K.upf
CELL_PARAMETERS angstrom
6.181 0.000 0.000
0.000 6.181 0.000
3.090 3.090 8.023
ATOMIC_POSITIONS crystal
In 0.875 0.125 0.750
In 0.875 0.125 0.250
Fe 0.750 0.250 0.500
In 0.875 0.625 0.250
K 0.250 0.750 0.500
In 0.375 0.125 0.750
Fe 0.000 0.000 0.000
K 0.500 0.500 0.000
```

=====

Run b
First-principles (PBE-GGA) data for a relaxed KIn2Fe crystal, as listed in Alexandria via LeMat-Bulk. Values from VASP.

Results
V: 24.76 Å³/atom
N(E_F): 1.00 states/eV per atom

Structure (Quantum ESPRESSO input):
```
&SYSTEM
  ibrav = 0, nat = 4, ntyp = 3
/
ATOMIC_SPECIES
In 114.82 In.upf
K 39.10 K.upf
Fe 55.84 Fe.upf
CELL_PARAMETERS angstrom
-3.076 3.851 3.392
-3.088 -4.914 -1.453
1.020 -1.377 2.488
ATOMIC_POSITIONS crystal
In 0.500 0.500 0.000
K 0.500 0.000 0.500
In 0.000 0.000 0.000
Fe 0.000 0.500 0.500
```

=====

Run c
First-principles (PBE-GGA) data for a relaxed KIn2Fe crystal, as listed in Alexandria via LeMat-Bulk. Values from VASP.

Results
V: 26.08 Å³/atom
N(E_F): 1.29 states/eV per atom

Structure (Quantum ESPRESSO input):
```
&SYSTEM
  ibrav = 0, nat = 4, ntyp = 3
/
ATOMIC_SPECIES
Fe 55.84 Fe.upf
In 114.82 In.upf
K 39.10 K.upf
CELL_PARAMETERS angstrom
-5.774 -2.991 -1.222
-0.065 -6.459 -1.433
1.020 5.135 4.045
ATOMIC_POSITIONS crystal
Fe 0.250 0.750 0.500
In 0.049 0.049 0.000
In 0.451 0.451 0.000
K 0.750 0.250 0.500
```

=====

Run d
First-principles (PBE-GGA) data for a relaxed KIn2Fe crystal, as listed in Alexandria via LeMat-Bulk. Values from VASP.

Results
V: 22.75 Å³/atom
N(E_F): 1.88 states/eV per atom

Structure (Quantum ESPRESSO input):
```
&SYSTEM
  ibrav = 0, nat = 4, ntyp = 3
/
ATOMIC_SPECIES
In 114.82 In.upf
K 39.10 K.upf
Fe 55.84 Fe.upf
CELL_PARAMETERS angstrom
3.069 0.310 3.997
-1.897 1.022 4.566
-0.108 -3.588 3.550
ATOMIC_POSITIONS crystal
In 0.750 0.750 0.750
K 0.000 0.000 0.000
Fe 0.500 0.500 0.500
In 0.250 0.250 0.250
```

=====

run c is favored, and the nearest alternative lies 30 meV/atom above it.

=====

Run a
First-principles (PBE-GGA) data for a relaxed KInFe crystal, as listed in Alexandria via LeMat-Bulk. Values from VASP.

Results
V: 35.84 Å³/atom
N(E_F): 0.96 states/eV per atom

Structure (Quantum ESPRESSO input):
```
&SYSTEM
  ibrav = 0, nat = 3, ntyp = 3
/
ATOMIC_SPECIES
K 39.10 K.upf
In 114.82 In.upf
Fe 55.84 Fe.upf
CELL_PARAMETERS angstrom
5.338 0.000 0.000
2.669 4.622 0.000
2.669 1.541 4.358
ATOMIC_POSITIONS crystal
K 0.750 0.750 0.750
In 0.500 0.500 0.500
Fe 0.000 0.000 0.000
```

=====

Run b
First-principles (PBE-GGA) data for a relaxed KInFe crystal, as listed in Alexandria via LeMat-Bulk. Values from VASP.

Results
V: 29.72 Å³/atom
N(E_F): 1.49 states/eV per atom

Structure (Quantum ESPRESSO input):
```
&SYSTEM
  ibrav = 0, nat = 3, ntyp = 3
/
ATOMIC_SPECIES
K 39.10 K.upf
Fe 55.84 Fe.upf
In 114.82 In.upf
CELL_PARAMETERS angstrom
-0.503 3.445 -3.609
-2.565 -1.092 -4.168
-4.463 2.130 -0.828
ATOMIC_POSITIONS crystal
K 0.500 0.500 0.500
Fe 0.750 0.750 0.750
In 0.000 0.000 0.000
```

=====

Run c
First-principles (PBE-GGA) data for a relaxed KInFe crystal, as listed in Alexandria via LeMat-Bulk. Values from VASP.

Results
V: 25.73 Å³/atom
N(E_F): 1.50 states/eV per atom

Structure (Quantum ESPRESSO input):
```
&SYSTEM
  ibrav = 0, nat = 3, ntyp = 3
/
ATOMIC_SPECIES
K 39.10 K.upf
In 114.82 In.upf
Fe 55.84 Fe.upf
CELL_PARAMETERS angstrom
-4.772 -0.143 2.081
4.140 -1.280 2.889
0.315 3.133 0.937
ATOMIC_POSITIONS crystal
K 0.333 0.667 0.666
In 0.667 0.333 0.167
Fe 0.000 0.000 0.167
```

=====

run c is favored, and the nearest alternative lies 153 meV/atom above it.